[1]
Computed, not measured: a relaxed BeTl2Au crystal at the PBE level of DFT.

Summary:
total moment: 0.0 μB/cell
crystal system: tetragonal
energy relative to the elements: 484 meV per atom
energy above the most stable polymorph in this dataset: 391 meV per atom
energy: -9.8 eV for the cell shown

```
BeTl2Au
1.0
4.758 0.000 0.000
0.000 4.759 0.000
0.000 0.000 3.919
Tl Au Be
2 1 1
Cartesian
0.000 0.000 0.000
2.379 2.380 0.000
2.379 0.000 1.959
0.000 2.380 1.959
```

[2]
Computed, not measured: a relaxed AgPtRh4 crystal at the PBE level of DFT.

Summary:
total moment: 0.7 μB/cell
crystal system: cubic
energy relative to the elements: 403 meV per atom
energy: -35.9 eV for the cell shown

```
AgPtRh4
1.0
-1.601 -4.865 0.079
-4.851 -1.080 1.240
-3.245 -1.687 -3.586
Rh Ag Pt
4 1 1
Cartesian
-3.635 -2.861 -0.850
-5.259 -3.705 -2.644
-4.436 -5.295 -0.810
-6.062 -3.401 -0.230
-7.272 -5.723 -1.700
0.000 0.000 0.000
```

[3]
Computed, not measured: a relaxed Ce6SbPb crystal at the PBE level of DFT.

Summary:
total moment: 5.6 μB/cell
crystal system: tetragonal
energy above the most stable polymorph in this dataset: 0 meV per atom
energy: -46.8 eV for the cell shown

```
Ce6SbPb
1.0
4.792 0.000 0.000
0.000 4.792 0.000
0.000 0.000 9.575
Ce Sb Pb
6 1 1
Cartesian
2.396 0.000 7.116
0.000 2.396 7.116
0.000 2.396 2.459
2.396 2.396 0.000
2.396 0.000 2.459
2.396 2.396 4.788
0.000 0.000 4.788
0.000 0.000 0.000
```

[4]
Computed, not measured: a relaxed ScCdMo2 crystal at the PBE level of DFT.

Summary:
total moment: 0.0 μB/cell
crystal system: monoclinic
energy relative to the elements: 245 meV per atom
energy: -27.9 eV for the cell shown

```
ScCdMo2
1.0
4.849 0.000 0.000
0.000 2.808 -0.001
0.000 0.995 5.384
Mo Sc Cd
2 1 1
Cartesian
0.000 2.016 2.544
0.000 2.693 0.147
2.424 0.951 1.346
2.424 2.852 4.038
```

[5]
Computed, not measured: a relaxed Ac3RuBr2 crystal at the PBE level of DFT.

Summary:
total moment: 0.0 μB/cell
crystal system: monoclinic
energy above the most stable polymorph in this dataset: 0 meV per atom
energy: -62.1 eV for the cell shown

```
Ac3RuBr2
1.0
-3.071 1.841 6.851
-8.585 -0.936 -0.697
-0.999 -5.455 5.379
Ac Br Ru
6 4 2
Cartesian
-7.439 -2.643 1.897
-8.835 -3.378 5.830
-3.820 -1.172 5.703
-2.647 0.372 1.940
-9.008 0.533 4.214
-5.216 -1.907 9.636
0.000 0.000 0.000
-5.469 -3.817 4.385
-5.828 0.452 3.077
-7.186 -0.734 7.148
-2.713 -2.410 8.154
-1.356 -1.205 4.077
```

[6]
Computed, not measured: a relaxed PaGe2Os crystal at the PBE level of DFT.

Summary:
total moment: 0.0 μB/cell
crystal system: orthorhombic
energy relative to the elements: -429 meV per atom
energy: -126.7 eV for the cell shown

```
PaGe2Os
1.0
4.250 0.000 0.000
-2.125 8.087 0.000
0.000 0.000 8.938
Ge Os Pa
8 4 4
Cartesian
2.125 6.931 6.703
2.125 6.788 2.234
2.125 3.238 5.315
2.125 3.238 8.092
0.000 1.156 2.234
0.000 4.849 0.846
0.000 4.849 3.623
0.000 1.299 6.703
0.000 2.295 0.039
0.000 2.295 4.430
2.125 5.793 4.508
2.125 5.793 8.899
0.000 4.762 6.703
2.125 0.000 0.000
2.125 0.000 4.469
2.125 3.325 2.234
```

[7]
Computed, not measured: a relaxed Sr2AcAlS5 crystal at the PBE level of DFT.

Summary:
total moment: 0.0 μB/cell
crystal system: orthorhombic
energy: -96.5 eV for the cell shown

```
Sr2AcAlS5
1.0
-3.199 2.454 -0.446
-4.171 -7.890 4.942
2.508 5.147 10.335
S Sr Al Ac
10 4 2 2
Cartesian
-5.441 -1.997 9.582
-3.402 -0.422 3.627
-3.801 -2.634 12.758
-1.929 1.989 6.332
-0.915 2.645 2.675
-1.752 -0.465 10.001
-4.149 -4.774 3.486
-0.484 -0.474 0.866
-2.986 -2.647 6.847
-1.346 3.446 10.167
-0.464 0.178 4.311
-4.060 0.227 11.913
-5.807 -3.230 5.423
0.584 2.201 7.921
0.057 5.247 10.014
-3.987 -3.622 8.659
-2.445 -2.777 2.254
-3.568 0.127 7.834
```

[8]
Computed, not measured: a relaxed PrErSc4 crystal at the PBE level of DFT.

Summary:
total moment: 6.3 μB/cell
crystal system: cubic
energy relative to the elements: 236 meV per atom
energy above the most stable polymorph in this dataset: 194 meV per atom
energy: -33.3 eV for the cell shown

```
PrErSc4
1.0
-5.187 3.585 -0.163
-3.342 0.473 -5.329
-5.687 -2.698 -0.407
Sc Er Pr
4 1 1
Cartesian
-6.042 2.199 -3.483
-7.214 0.614 -1.023
-6.292 -0.942 -3.605
-8.885 0.850 -3.686
0.000 0.000 0.000
-3.554 0.340 -1.475
```

[9]
Computed, not measured: a relaxed WN crystal at the PBE level of DFT.

Summary:
total moment: 0.0 μB/cell
crystal system: tetragonal
energy: -86.1 eV for the cell shown

```
WN
1.0
2.897 0.000 0.000
0.000 2.897 0.000
0.000 0.000 9.918
W N
4 4
Cartesian
1.448 0.000 9.083
0.000 1.448 4.124
1.448 1.448 6.603
0.000 0.000 1.644
1.448 1.448 0.914
1.448 0.000 3.393
0.000 1.448 8.352
0.000 0.000 5.872
```

[10]
Computed, not measured: a relaxed BeAgBr2 crystal at the PBE level of DFT.

Summary:
total moment: 0.0 μB/cell
crystal system: monoclinic
energy above the most stable polymorph in this dataset: 132 meV per atom
energy: -10.6 eV for the cell shown

```
BeAgBr2
1.0
-3.853 -4.308 -2.390
-1.042 -5.901 -1.791
-3.659 -4.961 3.973
Ag Br Be
1 2 1
Cartesian
-3.518 -6.837 -1.676
-6.317 -11.364 -0.579
-4.737 -9.306 -2.519
-3.153 -5.457 0.281
```

[11]
Computed, not measured: a relaxed Ti5ZnPd2Rh2 crystal at the PBE level of DFT.

Summary:
total moment: 0.0 μB/cell
crystal system: tetragonal
energy relative to the elements: -303 meV per atom
energy: -137.7 eV for the cell shown

```
Ti5ZnPd2Rh2
1.0
2.970 0.000 0.000
0.000 10.588 0.000
0.000 0.000 10.588
Ti Zn Rh Pd
10 2 4 4
Cartesian
1.485 9.251 1.738
1.485 3.957 3.556
1.485 8.850 9.251
1.485 1.337 8.850
1.485 3.556 6.631
1.485 7.033 3.957
1.485 5.294 0.000
1.485 1.738 1.337
1.485 6.631 7.033
1.485 0.000 5.294
0.000 5.294 5.294
0.000 0.000 0.000
0.000 3.788 1.506
0.000 1.506 6.800
0.000 6.800 9.083
0.000 9.083 3.788
0.000 3.657 8.952
0.000 6.931 1.637
0.000 8.952 6.931
0.000 1.637 3.657
```

[12]
Computed, not measured: a relaxed RbMg2CdNi crystal at the PBE level of DFT.

Summary:
total moment: 0.0 μB/cell
crystal system: tetragonal
energy relative to the elements: 52 meV per atom
energy: -10.6 eV for the cell shown

```
RbMg2CdNi
1.0
5.078 0.000 0.000
0.000 5.078 0.000
0.000 0.000 5.232
Rb Mg Cd Ni
1 2 1 1
Cartesian
2.539 2.539 2.616
0.000 2.539 0.000
2.539 0.000 0.000
0.000 0.000 2.616
0.000 0.000 0.000
```

[13]
Computed, not measured: a relaxed ScAlCl3 crystal at the PBE level of DFT.

Summary:
total moment: 1.7 μB/cell
crystal system: cubic
energy above the most stable polymorph in this dataset: 625 meV per atom
energy: -18.2 eV for the cell shown

```
ScAlCl3
1.0
5.015 0.000 0.000
0.000 5.015 0.000
0.000 0.000 5.015
Sc Cl Al
1 3 1
Cartesian
2.507 2.507 2.507
2.507 0.000 0.000
0.000 2.507 0.000
0.000 0.000 2.507
0.000 0.000 0.000
```

[14]
Computed, not measured: a relaxed UTl3Bi2Se6 crystal at the PBE level of DFT.

Summary:
total moment: 2.8 μB/cell
crystal system: monoclinic
energy: -54.1 eV for the cell shown

```
UTl3Bi2Se6
1.0
-5.222 -1.580 5.031
-0.465 -2.832 -6.844
5.967 -4.723 2.888
Se Bi Tl U
6 2 3 1
Cartesian
-0.842 -1.817 2.121
0.708 -2.225 -1.748
-2.974 -4.287 -0.739
1.121 -7.318 -1.046
3.254 -4.848 1.814
-0.428 -6.910 2.823
-2.051 -2.414 -2.884
-3.636 -1.997 1.072
1.717 -4.983 -3.401
-1.438 -4.152 4.476
0.140 -4.567 0.538
0.000 0.000 0.000
```

[15]
Computed, not measured: a relaxed MgVGa2 crystal at the PBE level of DFT.

Summary:
total moment: 1.6 μB/cell
crystal system: tetragonal
energy relative to the elements: -46 meV per atom
energy: -17.0 eV for the cell shown

```
MgVGa2
1.0
-3.272 -1.999 -0.142
0.200 -0.613 4.027
-2.121 3.427 0.627
Ga V Mg
2 1 1
Cartesian
0.100 -0.306 2.014
-1.061 1.713 0.313
-1.636 -1.000 -0.071
-2.597 0.407 2.256
```